# 1
# LaPm5Sn4

An optimized crystal structure of LaPm5Sn4 (PBE-GGA, Alexandria).

Summary:
- ρ (kg/m3) = 6726
- calculated formation energy (eV per atom) = -0.57

Geometry as POSCAR:
```
LaPm5Sn4
1.0
-2.5572 0.7393 -4.8064
5.3040 -3.7254 -3.3949
-8.2600 -3.5910 6.9826
Sn Pm La
4 5 1
direct
0.0089 0.2744 0.0178
0.3227 0.8967 0.6454
0.6773 0.1033 0.3546
0.9911 0.7256 0.9822
0.8345 0.6757 0.6689
0.8332 0.1550 0.6664
0.1668 0.8450 0.3336
0.1655 0.3243 0.3311
0.5000 0.5000 0.0000
0.5000 0.0000 0.0000
```

# 2
# BaGa4Cu2Pd

An optimized crystal structure of BaGa4Cu2Pd (PBE-GGA, Alexandria).

Summary:
- ρ (kg/m3) = 6886
- calculated formation energy (eV per atom) = -0.33

Geometry as POSCAR:
```
BaGa4Cu2Pd
1.0
4.2661 0.0000 0.0000
2.1330 3.6945 0.0000
2.1330 1.2315 9.9402
Ba Cu Ga Pd
1 2 4 1
direct
0.0000 0.0000 0.0000
0.2256 0.2256 0.3232
0.7744 0.7744 0.6768
0.1290 0.1290 0.6129
0.5894 0.5894 0.2317
0.4106 0.4106 0.7683
0.8710 0.8710 0.3871
0.5000 0.5000 0.5000
```

# 3
# Dy11Cd9Hg4

An optimized crystal structure of Dy11Cd9Hg4 (PBE-GGA, Alexandria).

Summary:
- ρ (kg/m3) = 9595
- calculated formation energy (eV per atom) = -0.35

Geometry as POSCAR:
```
Dy11Cd9Hg4
1.0
3.7750 0.0000 0.0000
0.0000 12.3221 -5.1906
0.0000 0.0694 13.3706
Cd Dy Hg
9 11 4
direct
0.5000 0.6315 0.1476
0.5000 0.2069 0.0516
0.5000 0.8524 0.3685
0.5000 0.7931 0.9484
0.5000 0.9484 0.7931
0.5000 0.3685 0.8524
0.5000 0.0516 0.2069
0.5000 0.1476 0.6315
0.5000 0.5000 0.5000
0.0000 0.7310 0.7310
0.0000 0.6462 0.3538
0.0000 0.0672 0.4118
0.0000 0.1657 0.8343
0.0000 0.4118 0.0672
0.0000 0.8343 0.1657
0.0000 0.3538 0.6462
0.0000 0.9328 0.5882
0.0000 0.2690 0.2690
0.0000 0.0000 0.0000
0.0000 0.5882 0.9328
0.5000 0.4486 0.2584
0.5000 0.2584 0.4486
0.5000 0.5514 0.7416
0.5000 0.7416 0.5514
```

# 4
# CsMgAs3

An optimized crystal structure of CsMgAs3 (PBE-GGA, Alexandria).

Summary:
- ρ (kg/m3) = 3445
- calculated formation energy (eV per atom) = 1.58
- offset from the most stable computed form (meV per atom) = 1338

Geometry as POSCAR:
```
CsMgAs3
1.0
-5.0267 -2.5552 0.7530
1.7996 -2.0716 4.9833
-1.9641 4.6414 2.6388
As Cs Mg
3 1 1
direct
0.5000 0.0000 0.0000
0.0000 0.0000 0.5000
0.0000 0.5000 0.0000
0.0000 0.0000 0.0000
0.5000 0.5000 0.5000
```

# 5
# Ho7Au3

An optimized crystal structure of Ho7Au3 (PBE-GGA, Alexandria).

Summary:
- ρ (kg/m3) = 10561
- calculated formation energy (eV per atom) = -0.53

Geometry as POSCAR:
```
Ho7Au3
1.0
6.3294 0.0000 0.0000
0.0000 8.6662 -5.0034
0.0000 0.0000 10.0068
Ho Au
14 6
direct
0.9299 0.8708 0.1292
0.1362 0.0740 0.5370
0.6362 0.5370 0.0740
0.1100 0.6667 0.3333
0.6362 0.5370 0.4630
0.4299 0.1292 0.8708
0.1362 0.4630 0.9260
0.4299 0.1292 0.2583
0.9299 0.8708 0.7417
0.9299 0.2583 0.1292
0.6362 0.9260 0.4630
0.4299 0.7417 0.8708
0.1362 0.4630 0.5370
0.6100 0.3333 0.6667
0.3666 0.3816 0.1908
0.3666 0.8092 0.6184
0.8666 0.1908 0.8092
0.8666 0.1908 0.3816
0.8666 0.6184 0.8092
0.3666 0.8092 0.1908
```

# 6
# CrAgMo

An optimized crystal structure of CrAgMo (PBE-GGA, Alexandria).

Summary:
- ρ (kg/m3) = 9363
- calculated formation energy (eV per atom) = 0.56
- offset from the most stable computed form (meV per atom) = 123

Geometry as POSCAR:
```
CrAgMo
1.0
6.8985 -0.0003 0.0000
5.9092 3.5596 0.0000
-6.4039 -1.7797 1.8474
Mo Ag Cr
1 1 1
direct
0.6726 0.6726 0.0000
0.9949 0.9949 0.0000
0.3325 0.3325 0.0000
```

# 7
# Ga2PdI

An optimized crystal structure of Ga2PdI (PBE-GGA, Alexandria).

Summary:
- ρ (kg/m3) = 4931
- ΔE_f (raw) (meV/atom) = -143
- offset from the most stable computed form (meV per atom) = 0

Geometry as POSCAR:
```
Ga2PdI
1.0
-4.2141 -1.4599 -4.2564
4.4185 -0.2392 -4.2926
1.0144 -7.2618 -2.9782
Ga Pd I
4 2 2
direct
0.2275 0.6250 0.2500
0.5225 0.1250 0.2500
0.3750 0.4775 0.7500
0.8750 0.7725 0.7500
0.5000 0.5000 0.0000
0.2500 0.7500 0.5000
0.0000 0.0000 0.0000
0.7500 0.2500 0.5000
```

# 8
# CrGaCu2Tc

An optimized crystal structure of CrGaCu2Tc (PBE-GGA, Alexandria).

Summary:
- ρ (kg/m3) = 6945
- calculated formation energy (eV per atom) = 1.33

Geometry as POSCAR:
```
CrGaCu2Tc
1.0
-0.7782 3.6968 2.0311
-4.3985 -0.9804 0.0992
0.5232 -1.9649 3.7766
Cu Cr Tc Ga
2 1 1 1
direct
0.0000 0.0000 0.5000
0.5000 0.0000 0.0000
0.0000 0.5000 0.0000
0.5000 0.5000 0.5000
0.0000 0.0000 0.0000
```

# 9
# PrNd2SmY6

An optimized crystal structure of PrNd2SmY6 (PBE-GGA, Alexandria).

Summary:
- ρ (kg/m3) = 5473
- calculated formation energy (eV per atom) = 0.11

Geometry as POSCAR:
```
PrNd2SmY6
1.0
9.3843 -2.1982 -2.2812
0.6983 8.5812 -1.9786
0.6983 -2.2953 8.5020
Y Nd Sm Pr
12 4 2 2
direct
0.0570 0.1189 0.7393
0.1842 0.5732 0.0214
0.8820 0.2989 0.5092
0.9430 0.8811 0.2607
0.1180 0.7011 0.4908
0.8158 0.4268 0.9786
0.6842 0.0214 0.5732
0.5570 0.7393 0.1189
0.3158 0.9786 0.4268
0.3820 0.5092 0.2989
0.6180 0.4908 0.7011
0.4430 0.2607 0.8811
0.5443 0.1915 0.2893
0.0443 0.2893 0.1915
0.4557 0.8085 0.7107
0.9557 0.7107 0.8085
0.2500 0.4059 0.5941
0.7500 0.5941 0.4059
0.2500 0.9824 0.0176
0.7500 0.0176 0.9824
```

# 10
# Be2GaN

An optimized crystal structure of Be2GaN (PBE-GGA, Alexandria).

Summary:
- ρ (kg/m3) = 3720
- ΔE_f (raw) (meV/atom) = -328
- offset from the most stable computed form (meV per atom) = 0

Geometry as POSCAR:
```
Be2GaN
1.0
5.0318 0.0000 0.0000
0.0000 5.0318 0.0000
2.5159 2.5159 3.5879
Be N Ga
4 2 2
direct
0.2748 0.6250 0.2500
0.4752 0.1250 0.2500
0.3750 0.5248 0.7500
0.8750 0.7252 0.7500
0.5000 0.5000 0.0000
0.2500 0.7500 0.5000
0.7500 0.2500 0.5000
0.0000 0.0000 0.0000
```

# 11
# Li8In2Sn

An optimized crystal structure of Li8In2Sn (PBE-GGA, Alexandria).

Summary:
- ρ (kg/m3) = 3230
- calculated formation energy (eV per atom) = -0.26
- offset from the most stable computed form (meV per atom) = 51

Geometry as POSCAR:
```
Li8In2Sn
1.0
4.5369 0.0004 -1.3777
-0.9124 6.7569 -3.0064
-0.2564 -0.9026 7.2898
Li In Sn
8 2 1
direct
0.6422 0.4459 0.2842
0.3578 0.5541 0.7158
0.3592 0.1637 0.7182
0.0007 0.2937 0.0012
0.6408 0.8363 0.2818
0.9993 0.7063 0.9988
0.8566 0.8575 0.7126
0.1434 0.1425 0.2874
0.2100 0.7113 0.4205
0.7900 0.2887 0.5795
0.5000 0.0000 0.0000
```

# 12
# NpTlS2

An optimized crystal structure of NpTlS2 (PBE-GGA, Alexandria).

Summary:
- ρ (kg/m3) = 9138
- ΔE_f (raw) (meV/atom) = -900

Geometry as POSCAR:
```
NpTlS2
1.0
3.4725 0.0000 0.0000
0.0000 3.4725 0.0000
0.0000 0.0000 7.6178
S Tl Np
2 1 1
direct
0.0000 0.0000 0.7991
0.0000 0.0000 0.2009
0.5000 0.5000 0.5000
0.5000 0.5000 0.0000
```

# 13
# Na12Sn7Pt

An optimized crystal structure of Na12Sn7Pt (PBE-GGA, Alexandria).

Summary:
- ρ (kg/m3) = 3865
- calculated formation energy (eV per atom) = -0.18

Geometry as POSCAR:
```
Na12Sn7Pt
1.0
-1.8316 -5.2079 6.4900
7.7328 2.9683 1.9974
-5.0812 6.6997 1.3753
Na Pt Sn
12 1 7
direct
0.3689 0.0965 0.2768
0.7372 0.4642 0.2329
0.9035 0.7232 0.6311
0.0965 0.2768 0.3689
0.4642 0.2329 0.7372
0.5358 0.7671 0.2628
0.7232 0.6311 0.9035
0.6311 0.9035 0.7232
0.2628 0.5358 0.7671
0.7671 0.2628 0.5358
0.2329 0.7372 0.4642
0.2768 0.3689 0.0965
0.0000 0.0000 0.0000
0.9290 0.8745 0.2835
0.8745 0.2835 0.9290
0.7165 0.0710 0.1255
0.1255 0.7165 0.0710
0.5000 0.5000 0.5000
0.2835 0.9290 0.8745
0.0710 0.1255 0.7165
```

# 14
# LaErTc4

An optimized crystal structure of LaErTc4 (PBE-GGA, Alexandria).

Summary:
- ρ (kg/m3) = 10077
- calculated formation energy (eV per atom) = 0.00

Geometry as POSCAR:
```
LaErTc4
1.0
5.4592 0.0000 0.0000
2.7296 4.7278 0.0000
2.7296 1.5759 4.4574
La Tc Er
1 4 1
direct
0.2500 0.2500 0.2500
0.6252 0.6252 0.6252
0.1244 0.6252 0.6252
0.6252 0.6252 0.1244
0.6252 0.1244 0.6252
0.0000 0.0000 0.0000
```

# 15
# La2MgAgO5

An optimized crystal structure of La2MgAgO5 (PBE-GGA, Alexandria).

Summary:
- ρ (kg/m3) = 5841
- ΔE_f (raw) (meV/atom) = -2008

Geometry as POSCAR:
```
La2MgAgO5
1.0
6.0100 0.0000 0.0000
0.0000 6.8087 0.0000
0.0000 0.0000 6.8087
O Mg Ag La
10 2 2 4
direct
0.2422 0.8429 0.3429
0.2422 0.3429 0.1571
0.7578 0.6571 0.8429
0.5000 0.0000 0.0000
0.5000 0.5000 0.5000
0.2422 0.1571 0.6571
0.7578 0.8429 0.3429
0.7578 0.1571 0.6571
0.7578 0.3429 0.1571
0.2422 0.6571 0.8429
0.0000 0.0000 0.0000
0.0000 0.5000 0.5000
0.0000 0.0000 0.5000
0.0000 0.5000 0.0000
0.5000 0.6707 0.1707
0.5000 0.1707 0.3293
0.5000 0.3293 0.8293
0.5000 0.8293 0.6707
```

# 16
# Mg6Cd3Pt

An optimized crystal structure of Mg6Cd3Pt (PBE-GGA, Alexandria).

Summary:
- ρ (kg/m3) = 5504
- calculated formation energy (eV per atom) = -0.27

Geometry as POSCAR:
```
Mg6Cd3Pt
1.0
4.5713 0.0000 0.0000
0.0000 8.9146 -0.8245
0.0000 -0.5894 10.0959
Cd Mg Pt
6 12 2
direct
0.2500 0.5481 0.3995
0.7500 0.6540 0.2143
0.7500 0.4519 0.6005
0.2500 0.7566 0.0011
0.2500 0.3460 0.7857
0.7500 0.2434 0.9989
0.7500 0.5505 0.9045
0.2500 0.6562 0.6930
0.7500 0.7960 0.5064
0.2500 0.0566 0.8929
0.2500 0.1444 0.2015
0.2500 0.8794 0.3411
0.7500 0.8556 0.7985
0.2500 0.2040 0.4936
0.7500 0.3438 0.3070
0.2500 0.4495 0.0955
0.7500 0.1206 0.6589
0.7500 0.9434 0.1071
0.2500 0.9383 0.6344
0.7500 0.0617 0.3656
```

# 17
# YVPd6

An optimized crystal structure of YVPd6 (PBE-GGA, Alexandria).

Summary:
- ρ (kg/m3) = 10002
- calculated formation energy (eV per atom) = -0.54

Geometry as POSCAR:
```
YVPd6
1.0
-1.9255 -0.2249 3.5159
-3.5040 -0.2945 -1.9378
0.7316 -7.9827 -0.1099
Pd Y V
6 1 1
direct
0.0000 0.5000 0.2695
0.5000 0.0000 0.2695
0.0000 0.5000 0.7305
0.5000 0.0000 0.7305
0.5000 0.5000 0.5000
0.5000 0.5000 0.0000
0.0000 0.0000 0.0000
0.0000 0.0000 0.5000
```

# 18
# LaDy3Er8

An optimized crystal structure of LaDy3Er8 (PBE-GGA, Alexandria).

Summary:
- ρ (kg/m3) = 8027
- calculated formation energy (eV per atom) = 0.32

Geometry as POSCAR:
```
LaDy3Er8
1.0
7.0393 0.5356 -4.9289
-2.9467 7.9864 -1.2913
-1.7406 -0.5356 8.4152
Er Dy La
8 3 1
direct
0.0114 0.2574 0.7539
0.5035 0.2575 0.2461
0.4965 0.7426 0.7540
0.9886 0.7424 0.2460
0.1711 0.9202 0.7488
0.1714 0.4223 0.2512
0.8289 0.5777 0.7491
0.8286 0.0798 0.2509
0.0000 0.5000 0.5000
0.5000 0.7421 0.2421
0.5000 0.2579 0.7579
0.0000 0.0000 0.0000
```

# 19
# Hf3FeTc2

An optimized crystal structure of Hf3FeTc2 (PBE-GGA, Alexandria).

Summary:
- ρ (kg/m3) = 12974
- calculated formation energy (eV per atom) = -0.42

Geometry as POSCAR:
```
Hf3FeTc2
1.0
3.2235 0.0000 0.0000
0.0000 3.2235 0.0000
0.0000 0.0000 9.6977
Hf Fe Tc
3 1 2
direct
0.0000 0.0000 0.3385
0.0000 0.0000 0.6615
0.0000 0.0000 0.0000
0.5000 0.5000 0.5000
0.5000 0.5000 0.8287
0.5000 0.5000 0.1713
```

# 20
# Zn2TcOs

An optimized crystal structure of Zn2TcOs (PBE-GGA, Alexandria).

Summary:
- ρ (kg/m3) = 12053
- calculated formation energy (eV per atom) = 0.25
- offset from the most stable computed form (meV per atom) = 266

Geometry as POSCAR:
```
Zn2TcOs
1.0
-0.2018 2.7895 -0.7177
-4.3806 -0.0416 1.0698
1.0060 1.1441 4.1638
Zn Tc Os
2 1 1
direct
0.0000 0.0000 0.0000
0.5000 0.5000 0.0000
0.0000 0.5000 0.5000
0.5000 0.0000 0.5000
```

# 21
# Ba2MgCd4Ag3

An optimized crystal structure of Ba2MgCd4Ag3 (PBE-GGA, Alexandria).

Summary:
- ρ (kg/m3) = 6397
- calculated formation energy (eV per atom) = -0.23

Geometry as POSCAR:
```
Ba2MgCd4Ag3
1.0
4.7022 0.0000 0.0000
0.0000 4.7022 0.0000
0.0000 0.0000 12.5881
Ba Cd Ag Mg
2 4 3 1
direct
0.5000 0.0000 0.2444
0.0000 0.5000 0.7556
0.0000 0.0000 0.0000
0.0000 0.5000 0.3633
0.5000 0.0000 0.6367
0.5000 0.5000 0.0000
0.0000 0.5000 0.1354
0.0000 0.0000 0.5000
0.5000 0.0000 0.8646
0.5000 0.5000 0.5000
```

# 22
# YAl2Ni

An optimized crystal structure of YAl2Ni (PBE-GGA, Alexandria).

Summary:
- ρ (kg/m3) = 4437
- calculated formation energy (eV per atom) = -0.30

Geometry as POSCAR:
```
YAl2Ni
1.0
4.0593 0.0000 0.0000
0.0000 3.3742 0.0064
0.0000 1.6829 5.5112
Ni Al Y
1 2 1
direct
0.0000 0.3300 0.4660
0.5000 0.4428 0.2394
0.0000 0.0159 0.0930
0.5000 0.7113 0.7016
```